Entry 1:
PmAg2Sn2 | GGA-PBE | optimized geometry

Summary:
For the offset from the most stable computed form, the calculation gives 0.0000 eV per atom. As for the formation enthalpy at 0 K: -368 meV per atom.

Unit cell a=4.4712 b=23.6125 c=4.4827 alpha=90.00 beta=90.00 gamma=90.00
Closest atoms and distances in Å follow each position.
Space group Cmcm (No. 63)
Inequivalent atoms, fractional coordinates:
Pm 0.0000 0.1426 0.2500 (multiplicity 4)  8 Sn 3.21-3.39, 4 Ag 3.31
Ag 0.0000 0.0393 0.7500 (multiplicity 4)  8 Ag 2.91-3.17, 2 Sn 2.92
Ag 0.0000 0.4607 0.7500 (multiplicity 4)  8 Ag 2.91-3.17, 2 Sn 2.93
Sn 0.0000 0.2493 0.7500 (multiplicity 4)  4 Sn 3.17, 4 Pm 3.37-3.39
Sn 0.0000 0.3809 0.2500 (multiplicity 4)  4 Ag 2.92-2.93, 4 Pm 3.21

***

Entry 2:
LaPm6DyY2 | GGA-PBE | optimized geometry

Summary:
As for the formation enthalpy at 0 K: 119 meV per atom.

Unit cell a=9.3603 b=15.3070 c=9.6787 alpha=90.00 beta=97.07 gamma=90.00
Closest atoms and distances in Å follow each position.
Space group C2/c (No. 15)
Inequivalent atoms, fractional coordinates:
La 0.0000 0.0937 0.2500 (multiplicity 4)  6 Pm 3.53-3.58, 2 Y 3.62
Pm 0.0644 0.3254 0.4431 (multiplicity 8)  7 Pm 3.46-3.81, 1 Y 3.49, 2 Dy 3.71-3.78
Pm 0.0952 0.1104 0.6187 (multiplicity 8)  3 Pm 3.25-3.46, 3 Y 3.37-3.52, 2 La 3.53-3.58
Pm 0.2082 0.2736 0.8174 (multiplicity 8)  2 Pm 3.25-3.60, 1 Y 3.52, 1 La 3.53, 1 Dy 3.55
Dy 0.0000 0.4663 0.7500 (multiplicity 4)  4 Y 3.42-3.46, 6 Pm 3.55-3.78
Y 0.2441 0.4520 0.0481 (multiplicity 8)  6 Pm 3.37-3.70, 2 Dy 3.42-3.46, 1 La 3.62